(1)
Entry from Alexandria: an optimized crystal structure of YIn3Br7 (PBE).

Cell and atoms, written as CIF:
```
data_YIn3Br7
_chemical_formula_sum 'Y2 In6 Br14'
_cell_length_a 11.062
_cell_length_b 10.423
_cell_length_c 7.546
_cell_angle_alpha 90.00
_cell_angle_beta 109.60
_cell_angle_gamma 90.00
_space_group_name_H-M_alt 'C 1 m 1'
_space_group_IT_number 8
loop_
_space_group_symop_operation_xyz
'x,y,z'
'x,-y,z'
'x+1/2,y+1/2,z'
'x+1/2,-y+1/2,z'
loop_
_atom_site_label
_atom_site_fract_x
_atom_site_fract_y
_atom_site_fract_z
Y1 0.000 0.000 0.000
In1 0.007 0.222 0.514
In2 0.036 0.500 0.079
Br1 0.003 0.500 0.478
Br2 0.151 0.196 0.227
Br3 0.154 0.000 0.768
Br4 0.351 0.306 0.776
Br5 0.354 0.500 0.249
```

Summary:
Raw formation energy: -1130.5 kJ/mol of formula units
Calculated total energy: -3.464 eV/atom
Magnetic moment: 0.0 μB/cell

(2)
Entry from Alexandria: an optimized crystal structure of YInBr (PBE).

Cell and atoms, written as CIF:
```
data_YInBr
_chemical_formula_sum 'Y4 In4 Br4'
_cell_length_a 7.285
_cell_length_b 7.285
_cell_length_c 7.285
_cell_angle_alpha 90.00
_cell_angle_beta 90.00
_cell_angle_gamma 90.00
_space_group_name_H-M_alt 'F -4 3 m'
_space_group_IT_number 216
_space_group_name_Hall 'F -4 2 3'
loop_
_atom_site_label
_atom_site_fract_x
_atom_site_fract_y
_atom_site_fract_z
Y1 0.000 0.000 0.000
In1 0.250 0.250 0.250
Br1 0.250 0.250 0.750
```

Summary:
Raw formation energy: -54.3 kJ/mol of formula units
Calculated total energy: -3.813 eV/atom
Magnetic moment: 0.0 μB/cell

(3)
Entry from Alexandria: an optimized crystal structure of YIn2Br8 (PBE).

Cell and atoms, written as CIF:
```
data_YIn2Br8
_chemical_formula_sum 'Y2 In4 Br16'
_cell_length_a 14.986
_cell_length_b 8.691
_cell_length_c 7.088
_cell_angle_alpha 90.00
_cell_angle_beta 96.11
_cell_angle_gamma 90.00
_space_group_name_H-M_alt 'C 1 2/m 1'
_space_group_IT_number 12
loop_
_space_group_symop_operation_xyz
'x,y,z'
'-x,-y,-z'
'-x,y,-z'
'x,-y,z'
'x+1/2,y+1/2,z'
'-x+1/2,-y+1/2,-z'
'-x+1/2,y+1/2,-z'
'x+1/2,-y+1/2,z'
loop_
_atom_site_label
_atom_site_fract_x
_atom_site_fract_y
_atom_site_fract_z
Y1 0.000 0.000 0.000
In1 0.175 0.000 0.621
Br1 0.076 0.220 0.772
Br2 0.159 0.500 0.265
Br3 0.165 0.000 0.237
```

Summary:
Raw formation energy: -1133.1 kJ/mol of formula units
Calculated total energy: -3.370 eV/atom
Magnetic moment: 0.0 μB/cell

(4)
Entry from Alexandria: an optimized crystal structure of Y2InBr (PBE).

Cell and atoms, written as CIF:
```
data_Y2InBr
_chemical_formula_sum 'Y2 In1 Br1'
_cell_length_a 3.581
_cell_length_b 3.581
_cell_length_c 10.026
_cell_angle_alpha 90.00
_cell_angle_beta 90.00
_cell_angle_gamma 90.00
_space_group_name_H-M_alt 'P 4 m m'
_space_group_IT_number 99
loop_
_space_group_symop_operation_xyz
'x,y,z'
'-y,x,z'
'-x,-y,z'
'y,-x,z'
'-x,y,z'
'y,x,z'
'x,-y,z'
'-y,-x,z'
loop_
_atom_site_label
_atom_site_fract_x
_atom_site_fract_y
_atom_site_fract_z
Y1 0.000 0.000 0.000
Y2 0.500 0.500 0.258
In1 0.500 0.500 0.803
Br1 0.000 0.000 0.431
```

Summary:
Raw formation energy: -213.5 kJ/mol of formula units
Excess energy over the best structure of this formula in the dataset: 190 meV per atom
Calculated total energy: -4.888 eV/atom
Magnetic moment: 0.0 μB/cell

(5)
Entry from Alexandria: an optimized crystal structure of YIn2Br (PBE).

Cell and atoms, written as CIF:
```
data_YIn2Br
_chemical_formula_sum 'Y1 In2 Br1'
_cell_length_a 3.629
_cell_length_b 5.474
_cell_length_c 5.589
_cell_angle_alpha 90.00
_cell_angle_beta 90.00
_cell_angle_gamma 90.00
_space_group_name_H-M_alt 'P m m 2'
_space_group_IT_number 25
loop_
_space_group_symop_operation_xyz
'x,y,z'
'-x,-y,z'
'-x,y,z'
'x,-y,z'
loop_
_atom_site_label
_atom_site_fract_x
_atom_site_fract_y
_atom_site_fract_z
Y1 0.000 0.000 0.000
In1 0.500 0.000 0.504
In2 0.500 0.500 0.257
Br1 0.000 0.500 0.796
```

Summary:
Raw formation energy: -187.0 kJ/mol of formula units
Excess energy over the best structure of this formula in the dataset: 109 meV per atom
Calculated total energy: -3.888 eV/atom
Magnetic moment: 0.0 μB/cell

(6)
Entry from Alexandria: an optimized crystal structure of Y2InBr (PBE).

Cell and atoms, written as CIF:
```
data_Y2InBr
_chemical_formula_sum 'Y2 In1 Br1'
_cell_length_a 3.719
_cell_length_b 3.629
_cell_length_c 8.535
_cell_angle_alpha 90.00
_cell_angle_beta 90.07
_cell_angle_gamma 90.00
_space_group_name_H-M_alt 'P 1 2/m 1'
_space_group_IT_number 10
loop_
_space_group_symop_operation_xyz
'x,y,z'
'-x,-y,-z'
'-x,y,-z'
'x,-y,z'
loop_
_atom_site_label
_atom_site_fract_x
_atom_site_fract_y
_atom_site_fract_z
Y1 0.001 0.000 0.222
In1 0.500 0.500 0.000
Br1 0.000 0.500 0.500
```

Summary:
Raw formation energy: -286.7 kJ/mol of formula units
Excess energy over the best structure of this formula in the dataset: 0 meV per atom
Calculated total energy: -5.078 eV/atom
Magnetic moment: 0.0 μB/cell

(7)
Entry from Alexandria: an optimized crystal structure of YInBr4 (PBE).

Cell and atoms, written as CIF:
```
data_YInBr4
_chemical_formula_sum 'Y4 In4 Br16'
_cell_length_a 8.970
_cell_length_b 8.970
_cell_length_c 8.970
_cell_angle_alpha 90.00
_cell_angle_beta 90.00
_cell_angle_gamma 90.00
_space_group_name_H-M_alt 'F -4 3 m'
_space_group_IT_number 216
_space_group_name_Hall 'F -4 2 3'
loop_
_atom_site_label
_atom_site_fract_x
_atom_site_fract_y
_atom_site_fract_z
Y1 0.000 0.000 0.000
In1 0.250 0.250 0.250
Br1 0.126 0.126 0.626
```

Summary:
Raw formation energy: -21.9 kJ/mol of formula units
Excess energy over the best structure of this formula in the dataset: 1421 meV per atom
Calculated total energy: -2.687 eV/atom
Magnetic moment: 0.0 μB/cell

(8)
Entry from Alexandria: an optimized crystal structure of YIn2Br (PBE).

Cell and atoms, written as CIF:
```
data_YIn2Br
_chemical_formula_sum 'Y4 In8 Br4'
_cell_length_a 9.869
_cell_length_b 9.869
_cell_length_c 5.541
_cell_angle_alpha 90.00
_cell_angle_beta 90.00
_cell_angle_gamma 90.00
_space_group_name_H-M_alt 'I -4 2 d'
_space_group_IT_number 122
_space_group_name_Hall 'I -4 2bw'
loop_
_atom_site_label
_atom_site_fract_x
_atom_site_fract_y
_atom_site_fract_z
Y1 0.000 0.000 0.000
In1 0.200 0.750 0.125
Br1 0.000 0.000 0.500
```

Summary:
Raw formation energy: -90.0 kJ/mol of formula units
Excess energy over the best structure of this formula in the dataset: 360 meV per atom
Calculated total energy: -3.637 eV/atom
Magnetic moment: 0.0 μB/cell

(9)
Entry from Alexandria: an optimized crystal structure of YIn3Br6 (PBE).

Cell and atoms, written as CIF:
```
data_YIn3Br6
_chemical_formula_sum 'Y2 In6 Br12'
_cell_length_a 7.636
_cell_length_b 8.700
_cell_length_c 13.175
_cell_angle_alpha 90.00
_cell_angle_beta 121.39
_cell_angle_gamma 90.00
_space_group_name_H-M_alt 'P 1 21/c 1'
_space_group_IT_number 14
loop_
_space_group_symop_operation_xyz
'x,y,z'
'-x,-y,-z'
'-x,y+1/2,-z+1/2'
'x,-y+1/2,z+1/2'
loop_
_atom_site_label
_atom_site_fract_x
_atom_site_fract_y
_atom_site_fract_z
Y1 0.000 0.000 0.000
In1 0.303 0.081 0.776
In2 0.500 0.000 0.500
Br1 0.093 0.069 0.232
Br2 0.242 0.731 0.083
Br3 0.349 0.164 0.040
```

Summary:
Raw formation energy: -1113.2 kJ/mol of formula units
Calculated total energy: -3.625 eV/atom
Magnetic moment: 0.0 μB/cell

(10)
Entry from Alexandria: an optimized crystal structure of YIn2Br (PBE).

Cell and atoms, written as CIF:
```
data_YIn2Br
_chemical_formula_sum 'Y1 In2 Br1'
_cell_length_a 4.189
_cell_length_b 4.189
_cell_length_c 6.098
_cell_angle_alpha 90.00
_cell_angle_beta 90.00
_cell_angle_gamma 90.00
_space_group_name_H-M_alt 'P 4/m m m'
_space_group_IT_number 123
_space_group_name_Hall '-P 4 2'
loop_
_atom_site_label
_atom_site_fract_x
_atom_site_fract_y
_atom_site_fract_z
Y1 0.000 0.000 0.000
In1 0.000 0.500 0.500
Br1 0.500 0.500 0.000
```

Summary:
Raw formation energy: -159.1 kJ/mol of formula units
Excess energy over the best structure of this formula in the dataset: 181 meV per atom
Calculated total energy: -3.816 eV/atom
Magnetic moment: 0.0 μB/cell

(11)
Entry from Alexandria: an optimized crystal structure of Y2InBr (PBE).

Cell and atoms, written as CIF:
```
data_Y2InBr
_chemical_formula_sum 'Y8 In4 Br4'
_cell_length_a 7.680
_cell_length_b 7.680
_cell_length_c 7.680
_cell_angle_alpha 90.00
_cell_angle_beta 90.00
_cell_angle_gamma 90.00
_space_group_name_H-M_alt 'F -4 3 m'
_space_group_IT_number 216
_space_group_name_Hall 'F -4 2 3'
loop_
_atom_site_label
_atom_site_fract_x
_atom_site_fract_y
_atom_site_fract_z
Y1 0.000 0.000 0.000
Y2 0.250 0.250 0.250
In1 0.250 0.250 0.750
Br1 0.000 0.000 0.500
```

Summary:
Raw formation energy: 12.7 kJ/mol of formula units
Excess energy over the best structure of this formula in the dataset: 776 meV per atom
Calculated total energy: -4.302 eV/atom
Magnetic moment: 0.0 μB/cell

(12)
Entry from Alexandria: an optimized crystal structure of Y2In3Br9 (PBE).

Cell and atoms, written as CIF:
```
data_Y2In3Br9
_chemical_formula_sum 'Y12 In18 Br54'
_cell_length_a 13.8091
_cell_length_b 13.8091
_cell_length_c 19.5191
_cell_angle_alpha 90.00
_cell_angle_beta 90.00
_cell_angle_gamma 120.00
_space_group_name_H-M_alt 'R -3 c'
_space_group_IT_number 167
_space_group_name_Hall '-R 3 2"c'
loop_
_atom_site_label
_atom_site_fract_x
_atom_site_fract_y
_atom_site_fract_z
Y1 0.0000 0.0000 0.1465
In1 0.0000 0.2787 0.2500
Br1 0.0000 0.1542 0.7500
Br2 0.0233 0.1907 0.4095
```

Summary:
Raw formation energy: -1787.7 kJ/mol of formula units
Calculated total energy: -3.909 eV/atom
Magnetic moment: 0.0 μB/cell

Q: Which formula does entry 11 have?
A: Y2InBr